Entry 1:
The following is a DFT calculation (PBE) of La8Dy6Ho after structural relaxation.

energy relative to the elements	162	meV/atom
density of states at the Fermi level	1.679	states/eV per atom
magnetic moment	0.00	μB/cell
E_tot	-4.61	eV/atom
volume	518.3	Å³ per cell

Cell lengths 9.4550, 9.4550, 6.6952 Å; angles 90.00, 90.00, 120.00 degrees
Space group P-3 (No. 147)
Inequivalent atoms, fractional coordinates:
La: 0.0430 0.2925 0.1677
La: 0.3333 0.6667 0.1190
Dy: 0.0973 0.4360 0.6510
Ho: 0.0000 0.0000 0.5000



Entry 2:
The following is a DFT calculation (PBE) of La2DyHo6 after structural relaxation.

energy relative to the elements	241	meV/atom
density of states at the Fermi level	1.174	states/eV per atom
energy above the lowest structure with this stoichiometry	168	meV/atom
magnetic moment	0.00	μB/cell
E_tot	-4.42	eV/atom
volume	302.1	Å³ per cell

Cell lengths 7.6390, 7.6390, 5.9769 Å; angles 90.00, 90.00, 120.00 degrees
Space group P-3m1 (No. 164)
Inequivalent atoms, fractional coordinates:
La: 0.3333 0.6667 0.2137
Dy: 0.0000 0.0000 0.0000
Ho: 0.1881 0.3762 0.7055



Entry 3:
The following is a DFT calculation (PBE) of LaDy6Ho6 after structural relaxation.

energy relative to the elements	271	meV/atom
density of states at the Fermi level	2.036	states/eV per atom
magnetic moment	2.59	μB/cell
E_tot	-4.35	eV/atom
volume	434.9	Å³ per cell

Cell lengths 6.6157, 6.6157, 11.4735 Å; angles 90.00, 90.00, 120.00 degrees
Space group P6/mmm (No. 191)
Inequivalent atoms, fractional coordinates:
La: 0.0000 0.0000 0.0000
Dy: 0.0000 0.0000 0.3527
Dy: 0.3333 0.6667 0.0000
Dy: 0.3333 0.6667 0.5000
Ho: 0.0000 0.5000 0.2459



Entry 4:
The following is a DFT calculation (PBE) of La3Dy3Ho5 after structural relaxation.

energy relative to the elements	784	meV/atom
density of states at the Fermi level	1.219	states/eV per atom
magnetic moment	0.00	μB/cell
E_tot	-3.90	eV/atom
volume	431.7	Å³ per cell

Cell lengths 9.6597, 9.6597, 5.3427 Å; angles 90.00, 90.00, 120.00 degrees
Space group P-62m (No. 189)
Inequivalent atoms, fractional coordinates:
La: 0.0000 0.3599 0.0000
Dy: 0.0000 0.5195 0.5000
Ho: 0.0000 0.7249 0.0000
Ho: 0.3333 0.6667 0.0000



Entry 5:
The following is a DFT calculation (PBE) of La5Dy2Ho2 after structural relaxation.

energy relative to the elements	28	meV/atom
density of states at the Fermi level	1.696	states/eV per atom
energy above the lowest structure with this stoichiometry	0	meV/atom
magnetic moment	0.00	μB/cell
E_tot	-4.75	eV/atom
volume	309.3	Å³ per cell

Cell lengths 6.295, 6.305, 9.667 Å; angles 71.21, 71.46, 60.19 degrees
Space group P-1 (No. 2)
Inequivalent atoms, fractional coordinates:
La: 0.000 0.000 0.000
La: 0.110 0.443 0.669
La: 0.445 0.779 0.668
Dy: 0.334 0.330 0.000
Ho: 0.223 0.890 0.332



Entry 6:
The following is a DFT calculation (PBE) of La2Dy7Ho3 after structural relaxation.

energy relative to the elements	82	meV/atom
density of states at the Fermi level	1.525	states/eV per atom
energy above the lowest structure with this stoichiometry	0	meV/atom
magnetic moment	0.00	μB/cell
E_tot	-4.57	eV/atom
volume	389.8	Å³ per cell

Cell lengths 6.358, 3.523, 17.503 Å; angles 90.00, 96.16, 90.00 degrees
Space group P2/m (No. 10)
Inequivalent atoms, fractional coordinates:
La: 0.059 0.000 0.172
Dy: 0.000 0.500 0.500
Dy: 0.230 0.000 0.666
Dy: 0.257 0.000 0.999
Dy: 0.276 0.500 0.338
Ho: 0.454 0.500 0.843
Ho: 0.500 0.000 0.500



Which value of magnetic moment does entry 1 give?
0.00 μB/cell



Which value of magnetic moment does entry 4 give?
0.00 μB/cell



What is the magnetic moment in the second record?
0.00 μB/cell



Which value of E_tot does entry 4 give?
-3.90 eV/atom